Here is a geometry-optimized PtI6N2 structure from Alexandria. Energies are from PBE.

Structure (CIF):
```
data_PtI6N2
_chemical_formula_sum 'Pt1 I6 N2'
_cell_length_a 7.715
_cell_length_b 7.715
_cell_length_c 7.715
_cell_angle_alpha 60.00
_cell_angle_beta 60.00
_cell_angle_gamma 60.00
_space_group_name_H-M_alt 'P 1'
_space_group_IT_number 1
_space_group_name_Hall 'P 1'
loop_
_atom_site_label
_atom_site_type_symbol
_atom_site_fract_x
_atom_site_fract_y
_atom_site_fract_z
_atom_site_occupancy
N1 N 0.250 0.250 0.250 1
I1 I 0.754 0.246 0.754 1
I2 I 0.754 0.754 0.246 1
I3 I 0.246 0.754 0.246 1
Pt1 Pt 0.000 0.000 0.000 1
N2 N 0.750 0.750 0.750 1
I4 I 0.754 0.246 0.246 1
I5 I 0.246 0.246 0.754 1
I6 I 0.246 0.754 0.754 1
```

Computed properties:
Mass density, g/cm3: 5.03
Symmetry: No. 225
Uncorrected energy, eV per cell: -21.16